# 1
Material: Ce2HfZr
Method: DFT, PBE-GGA
State: optimized geometry

Unit cell a=3.103 b=3.103 c=11.919 alpha=82.52 beta=82.52 gamma=60.00
Atoms (fractional coordinates):
Hf 0.000 0.000 0.000
Zr 0.500 0.500 0.500
Ce 0.084 0.084 0.748
Ce 0.916 0.916 0.252

Calculated values
Space group: R-3m, No. 166
Mass density, g cm⁻³: 9.29
Volume, Å³/cell: 98
Energy relative to the lowest polymorph listed for this composition, meV per atom: 122

---

# 2
Material: ThCdPtO6
Method: DFT, PBE-GGA
State: optimized geometry

Unit cell a=5.055 b=5.055 c=10.270 alpha=90.00 beta=90.00 gamma=90.00
Each line ends with the local moment (μB).
Atoms (fractional coordinates):
Th 0.500 0.500 0.501  0.02
Th 0.000 0.000 0.001  0.02
Cd 0.500 0.500 0.166  0.02
Cd 0.000 0.000 0.666  0.02
Pt 0.500 0.500 0.832  0.61
Pt 0.000 0.000 0.332  0.61
O 0.185 0.815 0.478  0.11
O 0.815 0.185 0.478  0.11
O 0.315 0.315 0.978  0.11
O 0.685 0.685 0.978  0.11
O 0.184 0.816 0.185  0.15
O 0.816 0.184 0.185  0.15
O 0.316 0.316 0.685  0.15
O 0.684 0.684 0.685  0.15
O 0.773 0.227 0.837  0.25
O 0.227 0.773 0.837  0.25
O 0.727 0.727 0.337  0.25
O 0.273 0.273 0.337  0.25

Calculated values
Space group: P4_2nm, No. 102
Formation energy (no corrections), eV per atom: -1.500
Mass density, g cm⁻³: 8.04
Volume, Å³/cell: 262

---

# 3
Material: Tl8Sn2Bi
Method: DFT, PBE-GGA
State: optimized geometry

Unit cell a=5.271 b=8.361 c=9.348 alpha=116.57 beta=106.37 gamma=90.00
Atoms (fractional coordinates):
Tl 0.661 0.890 0.322
Tl 0.339 0.568 0.677
Tl 0.154 0.154 0.308
Tl 0.000 0.291 0.000
Tl 0.846 0.846 0.692
Tl 0.661 0.432 0.323
Tl 0.339 0.110 0.678
Tl 0.000 0.709 0.000
Sn 0.179 0.679 0.358
Sn 0.821 0.321 0.642
Bi 0.500 0.000 0.000

Calculated values
Space group: Immm, No. 71
Mass density, g cm⁻³: 9.88
Volume, Å³/cell: 350
Energy relative to the lowest polymorph listed for this composition, meV per atom: 0

---

# 4
Material: CeHfTcRh
Method: DFT, PBE-GGA
State: optimized geometry

Unit cell a=4.755 b=4.755 c=4.755 alpha=60.00 beta=60.00 gamma=60.00
Atoms (fractional coordinates):
Rh 0.000 0.000 0.000
Hf 0.750 0.750 0.750
Tc 0.500 0.500 0.500
Ce 0.250 0.250 0.250

Calculated values
Space group: F-43m, No. 216
Mass density, g cm⁻³: 11.35
Volume, Å³/cell: 76
Total DFT energy (no corrections), eV/cell: -35.4

---

# 5
Material: In2CuTc
Method: DFT, PBE-GGA
State: optimized geometry

Unit cell a=9.232 b=9.232 c=9.232 alpha=19.15 beta=19.15 gamma=19.15
Each line ends with the local moment (μB).
Atoms (fractional coordinates):
Cu 0.755 0.755 0.755  0.05
In 0.009 0.009 0.009  0.00
In 0.242 0.242 0.242  0.00
Tc 0.493 0.493 0.493  0.64

Calculated values
Space group: R3m, No. 160
Mass density, g cm⁻³: 8.78
Volume, Å³/cell: 74
Energy relative to the lowest polymorph listed for this composition, meV per atom: 221

---

# 6
Material: LaCe2As3
Method: DFT, PBE-GGA
State: optimized geometry

Unit cell a=4.272 b=6.049 c=7.406 alpha=114.10 beta=106.76 gamma=90.00
Each line ends with the local moment (μB).
Atoms (fractional coordinates):
La 0.500 0.500 0.500  0.02
Ce 0.834 0.834 0.168  0.65
Ce 0.166 0.166 0.832  0.65
As 0.828 0.328 0.155  -0.02
As 0.172 0.672 0.845  -0.02
As 0.500 0.000 0.500  -0.02

Calculated values
Space group: Immm, No. 71
Mass density, g cm⁻³: 6.45
Volume, Å³/cell: 166
Total DFT energy (no corrections), eV/cell: -39.5